{
  "formula": "UP2IO8",
  "functional": "PBE-GGA",
  "state": "optimized geometry",
  "e_form_raw_ev_per_atom": -2.2423,
  "lattice": [[5.5407, 0.0866, -0.8469], [2.6328, 4.8760, -0.8469], [-0.9236, -0.5608, 9.3805]],
  "species": ["O", "O", "O", "O", "O", "O", "O", "O", "I", "P", "P", "U"],
  "fractional_positions": [[0.7743, 0.7743, 0.3624], [0.3983, 0.8458, 0.1391], [0.1595, 0.1595, 0.8818], [0.8405, 0.8405, 0.1182], [0.6017, 0.1542, 0.8609], [0.2257, 0.2257, 0.6376], [0.8458, 0.3983, 0.1391], [0.1542, 0.6017, 0.8609], [0.0000, 0.0000, 0.5000], [0.2821, 0.2821, 0.8051], [0.7179, 0.7179, 0.1949], [0.0000, 0.0000, 0.0000]]
}


{
  "formula": "LaRe2Te",
  "functional": "PBE-GGA",
  "state": "optimized geometry",
  "e_form_raw_ev_per_atom": 0.5320,
  "lattice": [[-0.2953, -1.4519, 4.1900], [4.0635, -1.7699, -0.3270], [5.7909, 6.7712, 5.1114]],
  "species": ["Re", "Re", "Re", "Re", "Te", "Te", "La", "La"],
  "fractional_positions": [[0.8750, 0.7604, 0.7500], [0.2396, 0.6250, 0.2500], [0.3750, 0.4896, 0.7500], [0.5104, 0.1250, 0.2500], [0.2500, 0.7500, 0.5000], [0.5000, 0.5000, 0.0000], [0.7500, 0.2500, 0.5000], [0.0000, 0.0000, 0.0000]]
}


{
  "formula": "La2MgSi3",
  "functional": "PBE-GGA",
  "state": "optimized geometry",
  "e_form_raw_ev_per_atom": -0.5765,
  "lattice": [[5.8092, 1.0235, -1.6631], [-1.3414, 5.7441, -1.6631], [-0.6904, -1.0458, 8.4933]],
  "species": ["Si", "Si", "Si", "Si", "Si", "Si", "La", "La", "La", "La", "Mg", "Mg"],
  "fractional_positions": [[0.6771, 0.1617, 0.8388], [0.3229, 0.8383, 0.1612], [0.8381, 0.8381, 0.6762], [0.1619, 0.1619, 0.3238], [0.8383, 0.3229, 0.1612], [0.1617, 0.6771, 0.8388], [0.7588, 0.7588, 0.0000], [0.7500, 0.2500, 0.5000], [0.2412, 0.2412, 0.0000], [0.2500, 0.7500, 0.5000], [0.6651, 0.6651, 0.3303], [0.3349, 0.3349, 0.6697]]
}


{
  "formula": "PrBe2Pd",
  "functional": "PBE-GGA",
  "state": "optimized geometry",
  "lattice": [[-0.6830, -2.1235, 3.2762], [0.6087, -3.9165, -0.0141], [4.8043, -1.2681, 2.5771]],
  "species": ["Be", "Be", "Pr", "Pd"],
  "fractional_positions": [[0.8088, 0.8088, 0.5737], [0.1912, 0.1912, 0.4263], [0.0000, 0.0000, 0.0000], [0.5000, 0.5000, 0.5000]]
}


Number 1: VASP energy -90.231 eV/f.u., calculated density 3.74 Mg/m³. Number 2: VASP energy -30.837 eV/f.u., calculated density 10.99 Mg/m³. Number 3: VASP energy -31.178 eV/f.u., calculated density 4.63 Mg/m³. Number 4: VASP energy -18.803 eV/f.u., calculated density 6.34 Mg/m³.